The following is a GGA-PBE calculation of an optimized crystal structure of PuSe2, from the Open Quantum Materials Database. Values from VASP.

Quantum ESPRESSO input file:
```
&SYSTEM
  ibrav = 0, nat = 12, ntyp = 2
/
ATOMIC_SPECIES
Pu 244.00 Pu.upf
Se 78.96 Se.upf
CELL_PARAMETERS angstrom
4.1779 0.0000 0.0000
0.0000 7.1710 0.0000
0.0000 0.0000 12.6829
ATOMIC_POSITIONS crystal
Pu 0.0000 0.0286 0.0000
Pu 0.0000 0.4701 0.4940
Pu 0.5000 0.5299 0.9940
Pu 0.5000 0.9714 0.5000
Se 0.0000 0.1414 0.6140
Se 0.0000 0.3674 0.1111
Se 0.0000 0.6998 0.8804
Se 0.0000 0.8086 0.3834
Se 0.5000 0.1914 0.8834
Se 0.5000 0.3002 0.3804
Se 0.5000 0.6327 0.6111
Se 0.5000 0.8586 0.1140
```

As for the calculated total energy: -8.287 eV/atom.

---

The following is a GGA-PBE calculation of an optimized crystal structure of PuSe2, from the Open Quantum Materials Database. Values from VASP.

Quantum ESPRESSO input file:
```
&SYSTEM
  ibrav = 0, nat = 9, ntyp = 2
/
ATOMIC_SPECIES
Pu 244.00 Pu.upf
Se 78.96 Se.upf
CELL_PARAMETERS angstrom
3.9543 0.0000 0.0000
-1.9771 3.4245 0.0000
0.0000 0.0000 19.8950
ATOMIC_POSITIONS crystal
Pu 0.0000 0.0000 0.0000
Pu 0.3333 0.6667 0.6667
Pu 0.6667 0.3333 0.3333
Se 0.0000 0.0000 0.2476
Se 0.0000 0.0000 0.4189
Se 0.3333 0.6667 0.0855
Se 0.3333 0.6667 0.9143
Se 0.6667 0.3333 0.5809
Se 0.6667 0.3333 0.7522
```

As for the calculated total energy: -8.113 eV/atom.

---

Q: What is the calculated total energy in the second record?
A: -8.113 eV/atom